1.
A relaxed SrZnAg2Sn crystal. Source: Alexandria, functional GGA-PBE.

a b c (Å): 4.4917 4.5854 6.6611
angles (deg): 110.13 109.70 90.00
Fractional positions:
Ag1 0.7052 0.2052 0.4104
Sr1 0.4403 0.4403 0.8805
Sn1 0.1906 0.6906 0.3811
Ag2 0.0486 0.0486 0.0971
Zn1 0.8276 0.8276 0.6551

DFT total energy ... -2.816 eV per atom
Formation energy from the elements ... -0.28 eV/atom
Mass density ... 6.73 Mg/m³


2.
A relaxed TaAg3Sn crystal. Source: Alexandria, functional GGA-PBE.

a b c (Å): 5.1680 5.1680 5.1680
angles (deg): 90.00 90.00 90.00
Fractional positions:
Ag1 0.0000 0.0000 0.5000
Ag2 0.0000 0.5000 0.0000
Sn1 0.5000 0.5000 0.5000
Ag3 0.5000 0.0000 0.0000
Ta1 0.0000 0.0000 0.0000

DFT total energy ... -3.537 eV per atom
Formation energy from the elements ... 1.34 eV/atom
Mass density ... 7.50 Mg/m³


3.
A relaxed Ta2AgSn2 crystal. Source: Alexandria, functional GGA-PBE.

a b c (Å): 7.5467 7.5467 3.7242
angles (deg): 90.00 90.00 90.00
Fractional positions:
Sn1 0.3290 0.1710 0.5000
Ag1 0.5000 0.5000 0.0000
Sn2 0.8290 0.3290 0.5000
Ta1 0.3745 0.8745 0.0000
Sn3 0.6710 0.8290 0.5000
Ta2 0.6255 0.1255 0.0000
Sn4 0.1710 0.6710 0.5000
Ta3 0.8745 0.6255 0.0000
Ag2 0.0000 0.0000 0.0000
Ta4 0.1255 0.3745 0.0000

DFT total energy ... -6.597 eV per atom
Formation energy from the elements ... 0.32 eV/atom
Mass density ... 11.07 Mg/m³